# PrDy2Ho4Tm

A relaxed PrDy2Ho4Tm crystal (PBE-GGA, Alexandria).

Results
- DOS(E_F) (states/eV per atom) = 2.2151
- formation energy (meV per atom) = 438

a b c (Å): 9.4686 9.4686 11.7302
angles (deg): 128.27 128.27 88.67
Positions (direct):
Pr: 0.0000 0.5000 0.0000
Pr: 0.0000 0.5000 0.5000
Dy: 0.5000 0.0000 0.0000
Dy: 0.5000 0.0000 0.5000
Dy: 0.0000 0.0000 0.5000
Dy: 0.5000 0.5000 0.0000
Ho: 0.2497 0.7534 0.0014
Ho: 0.7466 0.2503 0.4986
Ho: 0.2534 0.7497 0.5014
Ho: 0.7504 0.2466 0.9986
Ho: 0.7490 0.7514 0.9986
Ho: 0.7486 0.7510 0.5014
Ho: 0.2514 0.2490 0.4986
Ho: 0.2510 0.2486 0.0014
Tm: 0.5000 0.5000 0.5000
Tm: 0.0000 0.0000 0.0000



# Th2CuNiPd

A relaxed Th2CuNiPd crystal (PBE-GGA, Alexandria).

Results
- DOS(E_F) (states/eV per atom) = 0.8739
- formation energy (meV per atom) = -434

a b c (Å): 4.2868 7.2846 7.0730
angles (deg): 108.67 90.00 90.00
Positions (direct):
Th: 0.7500 0.8629 0.6377
Th: 0.7500 0.7008 0.0457
Th: 0.2500 0.1371 0.3623
Th: 0.2500 0.2992 0.9543
Cu: 0.2500 0.6730 0.3357
Cu: 0.7500 0.3270 0.6643
Ni: 0.2500 0.9124 0.9315
Ni: 0.7500 0.0876 0.0685
Pd: 0.2500 0.5541 0.6690
Pd: 0.7500 0.4459 0.3310



# PrCd2Cu

A relaxed PrCd2Cu crystal (PBE-GGA, Alexandria).

Results
- DOS(E_F) (states/eV per atom) = 0.6819
- formation energy (meV per atom) = -106

a b c (Å): 5.0423 5.0423 5.0423
angles (deg): 60.00 60.00 60.00
Positions (direct):
Pr: 0.0000 0.0000 0.0000
Cu: 0.5000 0.5000 0.5000
Cd: 0.2500 0.2500 0.2500
Cd: 0.7500 0.7500 0.7500



# CaTl2InH

A relaxed CaTl2InH crystal (PBE-GGA, Alexandria).

Results
- DOS(E_F) (states/eV per atom) = 0.3263
- total DFT energy (no corrections) (eV per cell) = -13.5

a b c (Å): 5.0586 5.0586 4.6049
angles (deg): 90.00 90.00 90.00
Positions (direct):
H: 0.0000 0.0000 0.0000
Tl: 0.0000 0.5000 0.0000
Tl: 0.5000 0.0000 0.0000
Ca: 0.0000 0.0000 0.5000
In: 0.5000 0.5000 0.5000